[1]
DFT (PBE-GGA) results for a geometry-optimized PrErMg structure.

Cell lengths 5.5070, 5.5070, 3.4397 Å; angles 90.00, 90.00, 120.00 degrees
Space group P3m1 (No. 156)
Symmetry-distinct sites (fractional):
Pr  0.0000  0.0000  0.0000
Er  0.3333  0.6667  0.5660
Mg  0.6667  0.3333  0.3167

## Properties
calculated formation energy: 0.05 eV per atom

---

[2]
DFT (PBE-GGA) results for a geometry-optimized PrErMg4 structure.

Cell lengths 8.600, 8.600, 8.600 Å; angles 90.00, 90.00, 90.00 degrees
Space group F-43m (No. 216)
Symmetry-distinct sites (fractional):
Pr  0.000  0.000  0.000
Er  0.250  0.250  0.250
Mg  0.125  0.125  0.625

## Properties
calculated formation energy: -0.08 eV per atom

---

[3]
DFT (PBE-GGA) results for a geometry-optimized PrErMg structure.

Cell lengths 4.688, 4.688, 8.525 Å; angles 90.00, 90.00, 90.00 degrees
Space group P4/nmm (No. 129, origin choice 2)
Symmetry-distinct sites (fractional):
Pr  0.250  0.250  0.159
Er  0.250  0.250  0.752
Mg  0.250  0.750  0.500

## Properties
calculated formation energy: 0.19 eV per atom

---

[4]
DFT (PBE-GGA) results for a geometry-optimized Pr6Er12Mg structure.

Cell lengths 13.0751, 13.0751, 12.8793 Å; angles 90.00, 90.00, 120.00 degrees
Space group R-3m (No. 166, hexagonal axes)
Symmetry-distinct sites (fractional):
Pr  0.0915  0.1829  0.2733
Er  0.0000  0.2614  0.5000
Er  0.0470  0.5235  0.6184
Mg  0.0000  0.0000  0.5000

## Properties
calculated formation energy: 0.13 eV per atom

---

[5]
DFT (PBE-GGA) results for a geometry-optimized PrEr5Mg4 structure.

Cell lengths 3.724, 3.724, 20.250 Å; angles 90.00, 90.00, 90.00 degrees
Space group P4/mmm (No. 123)
Symmetry-distinct sites (fractional):
Pr  0.000  0.000  0.000
Er  0.500  0.500  0.122
Er  0.500  0.500  0.312
Er  0.500  0.500  0.500
Mg  0.000  0.000  0.218
Mg  0.000  0.000  0.405

## Properties
calculated formation energy: -0.05 eV per atom

---

[6]
DFT (PBE-GGA) results for a geometry-optimized Pr2Er2Mg structure.

Cell lengths 4.410, 4.410, 17.783 Å; angles 90.00, 90.00, 90.00 degrees
Space group I4/mmm (No. 139)
Symmetry-distinct sites (fractional):
Pr  0.000  0.000  0.093
Er  0.000  0.500  0.250
Mg  0.000  0.000  0.500

## Properties
calculated formation energy: 0.34 eV per atom

---

[7]
DFT (PBE-GGA) results for a geometry-optimized Pr8Er2Mg structure.

Cell lengths 18.488, 5.159, 8.146 Å; angles 90.00, 105.39, 90.00 degrees
Space group C2/m (No. 12)
Symmetry-distinct sites (fractional):
Pr  0.046  0.000  0.224
Pr  0.092  0.500  0.949
Pr  0.138  0.000  0.684
Pr  0.181  0.500  0.410
Er  0.226  0.000  0.134
Mg  0.000  0.500  0.500

## Properties
calculated formation energy: 0.01 eV per atom

---

[8]
DFT (PBE-GGA) results for a geometry-optimized PrEr3Mg4 structure.

Cell lengths 10.722, 7.638, 5.360 Å; angles 90.00, 90.00, 90.00 degrees
Space group Pmma (No. 51)
Symmetry-distinct sites (fractional):
Pr  0.000  0.000  0.000
Er  0.000  0.500  0.000
Er  0.250  0.000  0.495
Er  0.250  0.500  0.495
Mg  0.000  0.257  0.500
Mg  0.250  0.257  0.994

## Properties
calculated formation energy: -0.08 eV per atom

---

[9]
DFT (PBE-GGA) results for a geometry-optimized PrEr4Mg structure.

Cell lengths 3.583, 3.583, 14.187 Å; angles 90.00, 90.00, 90.00 degrees
Space group P4/mmm (No. 123)
Symmetry-distinct sites (fractional):
Pr  0.000  0.000  0.000
Er  0.000  0.000  0.350
Er  0.500  0.500  0.180
Mg  0.500  0.500  0.500

## Properties
calculated formation energy: 0.00 eV per atom

---

[10]
DFT (PBE-GGA) results for a geometry-optimized Pr2ErMg structure.

Cell lengths 3.588, 3.498, 20.641 Å; angles 90.00, 90.00, 90.00 degrees
Space group Amm2 (No. 38)
Symmetry-distinct sites (fractional):
Pr  0.000  0.000  0.000
Pr  0.000  0.000  0.230
Er  0.500  0.000  0.377
Mg  0.500  0.000  0.616

## Properties
calculated formation energy: 0.09 eV per atom

---

[11]
DFT (PBE-GGA) results for a geometry-optimized Pr2Er6Mg structure.

Cell lengths 3.5443, 3.5443, 26.0886 Å; angles 90.00, 90.00, 120.00 degrees
Space group P-6m2 (No. 187)
Symmetry-distinct sites (fractional):
Pr  0.0000  0.0000  0.1734
Er  0.0000  0.0000  0.3961
Er  0.6667  0.3333  0.0634
Er  0.6667  0.3333  0.2904
Mg  0.6667  0.3333  0.5000

## Properties
calculated formation energy: 0.09 eV per atom

---

[12]
DFT (PBE-GGA) results for a geometry-optimized Pr6ErMg5 structure.

Cell lengths 5.564, 7.857, 8.848 Å; angles 90.00, 108.34, 90.00 degrees
Space group P2/m (No. 10)
Symmetry-distinct sites (fractional):
Pr  0.000  0.240  0.000
Pr  0.332  0.248  0.661
Er  0.500  0.500  0.000
Mg  0.159  0.500  0.323
Mg  0.164  0.000  0.334
Mg  0.500  0.000  0.000

## Properties
calculated formation energy: -0.07 eV per atom

---

[13]
DFT (PBE-GGA) results for a geometry-optimized Pr4ErMg2 structure.

Cell lengths 7.592, 7.592, 8.347 Å; angles 90.00, 90.00, 90.00 degrees
Space group I4/mmm (No. 139)
Symmetry-distinct sites (fractional):
Pr  0.250  0.250  0.250
Er  0.000  0.000  0.000
Mg  0.000  0.500  0.000

## Properties
calculated formation energy: 0.15 eV per atom

---

[14]
DFT (PBE-GGA) results for a geometry-optimized Pr2Er3Mg3 structure.

Cell lengths 3.829, 5.414, 22.576 Å; angles 90.00, 90.00, 90.00 degrees
Space group Immm (No. 71)
Symmetry-distinct sites (fractional):
Pr  0.000  0.000  0.233
Er  0.000  0.000  0.000
Er  0.000  0.500  0.121
Mg  0.000  0.000  0.500
Mg  0.000  0.500  0.388

## Properties
calculated formation energy: -0.03 eV per atom

---

[15]
DFT (PBE-GGA) results for a geometry-optimized PrErMg structure.

Cell lengths 5.512, 3.457, 9.535 Å; angles 90.00, 90.00, 90.00 degrees
Space group Pmma (No. 51)
Symmetry-distinct sites (fractional):
Pr  0.250  0.000  0.076
Er  0.250  0.500  0.733
Mg  0.250  0.000  0.419

## Properties
calculated formation energy: 0.04 eV per atom

---

[16]
DFT (PBE-GGA) results for a geometry-optimized PrEr2Mg3 structure.

Cell lengths 3.798, 3.798, 11.512 Å; angles 90.00, 90.00, 90.00 degrees
Space group P4/mmm (No. 123)
Symmetry-distinct sites (fractional):
Pr  0.000  0.000  0.000
Er  0.000  0.000  0.340
Mg  0.500  0.500  0.179
Mg  0.500  0.500  0.500

## Properties
calculated formation energy: -0.08 eV per atom

---

[17]
DFT (PBE-GGA) results for a geometry-optimized PrErMg2 structure.

Cell lengths 7.670, 7.670, 7.670 Å; angles 90.00, 90.00, 90.00 degrees
Space group Fm-3m (No. 225)
Symmetry-distinct sites (fractional):
Pr  0.000  0.000  0.000
Er  0.000  0.000  0.500
Mg  0.250  0.250  0.250

## Properties
calculated formation energy: -0.10 eV per atom

---

[18]
DFT (PBE-GGA) results for a geometry-optimized PrEr4Mg structure.

Cell lengths 5.416, 12.113, 11.101 Å; angles 90.00, 90.00, 90.00 degrees
Space group Cmc2_1 (No. 36)
Symmetry-distinct sites (fractional):
Pr  0.000  0.178  0.000
Er  0.000  0.021  0.713
Er  0.000  0.171  0.439
Er  0.000  0.321  0.718
Er  0.000  0.496  0.976
Mg  0.000  0.348  0.228

## Properties
calculated formation energy: 0.02 eV per atom

---

[19]
DFT (PBE-GGA) results for a geometry-optimized PrEr4Mg2 structure.

Cell lengths 3.515, 34.674, 3.472 Å; angles 90.00, 90.00, 90.00 degrees
Space group Cmmm (No. 65)
Symmetry-distinct sites (fractional):
Pr  0.000  0.000  0.000
Er  0.000  0.147  0.000
Er  0.000  0.423  0.500
Mg  0.000  0.287  0.500

## Properties
calculated formation energy: 0.04 eV per atom

---

[20]
DFT (PBE-GGA) results for a geometry-optimized Pr3ErMg8 structure.

Cell lengths 6.1265, 6.1265, 29.9261 Å; angles 90.00, 90.00, 120.00 degrees
Space group R3m (No. 160, hexagonal axes)
Symmetry-distinct sites (fractional):
Pr  0.0000  0.0000  0.0000
Pr  0.0000  0.0000  0.1254
Pr  0.0000  0.0000  0.6241
Er  0.0000  0.0000  0.4998
Mg  0.0000  0.0000  0.3125
Mg  0.0000  0.0000  0.8123
Mg  0.0017  0.5009  0.0633
Mg  0.1671  0.3342  0.8948

## Properties
calculated formation energy: -0.10 eV per atom